# 1
An optimized crystal structure of ZrReNi, computed with PBE.

a = 5.9561 Å, b = 5.9561 Å, c = 5.9561 Å
α = 90.00°, β = 90.00°, γ = 90.00°
Space group F-43m (No. 216)
One atom of each set of equivalent atoms:
Zr 0.0000 0.0000 0.0000 [4 per cell]
Re 0.0000 0.0000 0.5000 [4 per cell]
Ni 0.2500 0.2500 0.7500 [4 per cell]

Relative energy among the computed polymorphs   521 meV/atom
Calculated density   10.6 g cm⁻³
DOS(E_F)   1.435 states/eV per atom
Energy relative to the elements   0.352 eV per atom

---

# 2
An optimized crystal structure of Ni3Rh13, computed with PBE.

a = 7.5904 Å, b = 7.5821 Å, c = 7.6268 Å
α = 90.00°, β = 90.00°, γ = 90.00°
Space group Amm2 (No. 38)
One atom of each set of equivalent atoms:
Ni 0.0000 0.0000 0.0000 [2 per cell]
Ni 0.2488 0.0000 0.2482 [4 per cell]
Rh 0.0000 0.0000 0.4970 [2 per cell]
Rh 0.0000 0.2465 0.2485 [4 per cell]
Rh 0.2481 0.2481 0.9989 [8 per cell]
Rh 0.2490 0.0000 0.7493 [4 per cell]
Rh 0.5000 0.0000 0.0005 [2 per cell]
Rh 0.5000 0.0000 0.4973 [2 per cell]
Rh 0.5000 0.2466 0.2488 [4 per cell]

Calculated density   11.5 g cm⁻³
DOS(E_F)   1.668 states/eV per atom
Energy relative to the elements   0.041 eV per atom

---

# 3
An optimized crystal structure of NiRh5, computed with PBE.

a = 2.7118 Å, b = 3.7778 Å, c = 8.0611 Å
α = 90.00°, β = 90.00°, γ = 90.00°
Space group Pmmm (No. 47)
One atom of each set of equivalent atoms:
Ni 0.0000 0.0000 0.0000 [1 per cell]
Rh 0.0000 0.0000 0.3286 [2 per cell]
Rh 0.5000 0.5000 0.1606 [2 per cell]
Rh 0.5000 0.5000 0.5000 [1 per cell]

Calculated density   11.5 g cm⁻³
DOS(E_F)   1.573 states/eV per atom
Energy relative to the elements   0.030 eV per atom

---

# 4
An optimized crystal structure of NiRh5, computed with PBE.

a = 2.7029 Å, b = 2.7029 Å, c = 13.0779 Å
α = 90.00°, β = 90.00°, γ = 120.00°
Space group P-3m1 (No. 164)
One atom of each set of equivalent atoms:
Ni 0.0000 0.0000 0.0000 [1 per cell]
Rh 0.0000 0.0000 0.5000 [1 per cell]
Rh 0.3333 0.6667 0.1586 [2 per cell]
Rh 0.3333 0.6667 0.6705 [2 per cell]

Calculated density   11.5 g cm⁻³
DOS(E_F)   1.519 states/eV per atom
Energy relative to the elements   0.028 eV per atom

---

# 5
An optimized crystal structure of NiRh, computed with PBE.

a = 3.7311 Å, b = 3.7437 Å, c = 10.9672 Å
α = 90.00°, β = 90.00°, γ = 90.00°
Space group Amm2 (No. 38)
One atom of each set of equivalent atoms:
Ni 0.0000 0.0000 0.0000 [2 per cell]
Ni 0.0000 0.0000 0.3383 [2 per cell]
Ni 0.5000 0.0000 0.4988 [2 per cell]
Rh 0.0000 0.0000 0.6651 [2 per cell]
Rh 0.5000 0.0000 0.1662 [2 per cell]
Rh 0.5000 0.0000 0.8394 [2 per cell]

Calculated density   10.5 g cm⁻³
DOS(E_F)   1.703 states/eV per atom
Energy relative to the elements   0.054 eV per atom

---

# 6
An optimized crystal structure of NiRh4, computed with PBE.

a = 4.2737 Å, b = 4.2737 Å, c = 13.2215 Å
α = 90.00°, β = 90.00°, γ = 120.00°
Space group R-3m (No. 166, hexagonal axes)
One atom of each set of equivalent atoms:
Ni 0.0000 0.0000 0.0000 [3 per cell]
Rh 0.0000 0.0000 0.1879 [6 per cell]
Rh 0.0000 0.0000 0.3892 [6 per cell]

Relative energy among the computed polymorphs   233 meV/atom
Calculated density   11.2 g cm⁻³
DOS(E_F)   2.093 states/eV per atom
Energy relative to the elements   0.257 eV per atom

---

# 7
An optimized crystal structure of Ni5Rh3, computed with PBE.

a = 3.6521 Å, b = 3.6521 Å, c = 14.7635 Å
α = 90.00°, β = 90.00°, γ = 90.00°
Space group I-4m2 (No. 119)
One atom of each set of equivalent atoms:
Ni 0.0000 0.0000 0.0000 [2 per cell]
Ni 0.0000 0.0000 0.2491 [4 per cell]
Ni 0.0000 0.5000 0.1293 [4 per cell]
Rh 0.0000 0.0000 0.5000 [2 per cell]
Rh 0.0000 0.5000 0.6274 [4 per cell]

Calculated density   10.2 g cm⁻³
DOS(E_F)   1.677 states/eV per atom
Energy relative to the elements   0.038 eV per atom

---

# 8
An optimized crystal structure of Ni3Rh, computed with PBE.

a = 2.5931 Å, b = 3.5847 Å, c = 5.1335 Å
α = 90.00°, β = 90.00°, γ = 90.00°
Space group Pmmm (No. 47)
One atom of each set of equivalent atoms:
Ni 0.0000 0.0000 0.0000 [1 per cell]
Ni 0.5000 0.5000 0.2406 [2 per cell]
Rh 0.0000 0.0000 0.5000 [1 per cell]

Calculated density   9.7 g cm⁻³
DOS(E_F)   1.507 states/eV per atom
Energy relative to the elements   0.037 eV per atom

---

# 9
An optimized crystal structure of Ni3Rh4, computed with PBE.

a = 2.6853 Å, b = 3.6163 Å, c = 18.5879 Å
α = 90.00°, β = 90.00°, γ = 90.00°
Space group Immm (No. 71)
One atom of each set of equivalent atoms:
Ni 0.0000 0.0000 0.0000 [2 per cell]
Ni 0.0000 0.0000 0.1410 [4 per cell]
Rh 0.0000 0.0000 0.2875 [4 per cell]
Rh 0.0000 0.0000 0.4294 [4 per cell]

Relative energy among the computed polymorphs   8 meV/atom
Calculated density   10.8 g cm⁻³
DOS(E_F)   1.886 states/eV per atom
Energy relative to the elements   0.049 eV per atom

---

# 10
An optimized crystal structure of NiRh4, computed with PBE.

a = 2.7079 Å, b = 3.7688 Å, c = 13.3855 Å
α = 90.00°, β = 90.00°, γ = 90.00°
Space group Immm (No. 71)
One atom of each set of equivalent atoms:
Ni 0.0000 0.0000 0.0000 [2 per cell]
Rh 0.0000 0.0000 0.1984 [4 per cell]
Rh 0.0000 0.0000 0.4035 [4 per cell]

Relative energy among the computed polymorphs   8 meV/atom
Calculated density   11.4 g cm⁻³
DOS(E_F)   1.613 states/eV per atom
Energy relative to the elements   0.032 eV per atom

---

# 11
An optimized crystal structure of NiRh, computed with PBE.

a = 2.6774 Å, b = 2.6774 Å, c = 7.0884 Å
α = 90.00°, β = 90.00°, γ = 90.00°
Space group P4/nmm (No. 129, origin choice 2)
One atom of each set of equivalent atoms:
Ni 0.2500 0.2500 0.1134 [2 per cell]
Rh 0.2500 0.2500 0.6350 [2 per cell]

Calculated density   10.6 g cm⁻³
DOS(E_F)   1.759 states/eV per atom
Energy relative to the elements   0.060 eV per atom

---

# 12
An optimized crystal structure of NiRh5, computed with PBE.

a = 2.7170 Å, b = 2.7170 Å, c = 11.1531 Å
α = 90.00°, β = 90.00°, γ = 90.00°
Space group P4/mmm (No. 123)
One atom of each set of equivalent atoms:
Ni 0.0000 0.0000 0.0000 [1 per cell]
Rh 0.0000 0.0000 0.3276 [2 per cell]
Rh 0.5000 0.5000 0.1563 [2 per cell]
Rh 0.5000 0.5000 0.5000 [1 per cell]

Calculated density   11.6 g cm⁻³
DOS(E_F)   1.481 states/eV per atom
Energy relative to the elements   0.025 eV per atom

---

What is the DOS(E_F) in the ninth record?
1.886 states/eV per atom

---

Among the records above, which one has the highest calculated density?
number 12

---

DOS(E_F) of number 2 (Ni3Rh13)?
1.668 states/eV per atom